Entry 1:
Compound: MgPaFeTc
Source: Alexandria via LeMat-Bulk
Functional: PBE-GGA
Structure: relaxed

```
MgPaFeTc
1.0
6.4690 0.0000 0.0000
0.0000 6.4690 0.0000
0.0000 0.0000 6.4690
Mg Pa Fe Tc
4 4 4 4
Direct
0.0000 0.0000 0.0000 Mg
0.0000 0.5000 0.5000 Mg
0.5000 0.0000 0.5000 Mg
0.5000 0.5000 0.0000 Mg
0.0000 0.0000 0.5000 Pa
0.0000 0.5000 0.0000 Pa
0.5000 0.0000 0.0000 Pa
0.5000 0.5000 0.5000 Pa
0.2500 0.2500 0.2500 Fe
0.2500 0.7500 0.7500 Fe
0.7500 0.2500 0.7500 Fe
0.7500 0.7500 0.2500 Fe
0.2500 0.2500 0.7500 Tc
0.2500 0.7500 0.2500 Tc
0.7500 0.2500 0.2500 Tc
0.7500 0.7500 0.7500 Tc
```

Results
Density of states at the Fermi level ... 1.242 states/eV per atom
Crystal system ... cubic
Energy relative to the elements ... -0.002 eV/atom
SG ... F-43m

***

Entry 2:
Compound: TbAl2SiOs2
Source: Alexandria via LeMat-Bulk
Functional: PBE-GGA
Structure: relaxed

```
TbAl2SiOs2
1.0
4.4497 0.0000 0.0000
0.0000 4.4497 0.0000
0.0000 0.0000 5.6219
Tb Al Si Os
1 2 1 2
Direct
0.0000 0.0000 0.0000 Tb
0.5000 0.5000 0.2352 Al
0.5000 0.5000 0.7648 Al
0.0000 0.0000 0.5000 Si
0.0000 0.5000 0.5000 Os
0.5000 0.0000 0.5000 Os
```

Results
Density of states at the Fermi level ... 0.679 states/eV per atom
Energy relative to the elements, uncorrected ... -209 meV per atom
Crystal system ... tetragonal
SG ... P4/mmm

***

Entry 3:
Compound: ZrSeI2
Source: Alexandria via LeMat-Bulk
Functional: PBE-GGA
Structure: relaxed

```
ZrSeI2
1.0
10.8292 0.0000 0.0000
0.0000 10.8292 0.0000
0.0000 0.0000 5.1306
Zr Se I
4 4 8
Direct
0.0000 0.0000 0.0000 Zr
0.0000 0.5000 0.2500 Zr
0.5000 0.0000 0.7500 Zr
0.5000 0.5000 0.5000 Zr
0.0000 0.0000 0.5000 Se
0.0000 0.5000 0.7500 Se
0.5000 0.0000 0.2500 Se
0.5000 0.5000 0.0000 Se
0.1020 0.2500 0.1250 I
0.2500 0.6020 0.3750 I
0.2500 0.8980 0.8750 I
0.3980 0.2500 0.6250 I
0.6020 0.7500 0.6250 I
0.7500 0.1020 0.8750 I
0.7500 0.3980 0.3750 I
0.8980 0.7500 0.1250 I
```

Results
Density of states at the Fermi level ... 0.000 states/eV per atom
Energy relative to the elements, uncorrected ... -709 meV per atom
Energy above the most stable polymorph in this dataset ... 0.197 eV per atom
Crystal system ... tetragonal
SG ... I-42d

***

Entry 4:
Compound: KFeAg
Source: Alexandria via LeMat-Bulk
Functional: PBE-GGA
Structure: relaxed

```
KFeAg
1.0
6.9443 0.0000 0.0000
0.0000 6.9443 0.0000
0.0000 0.0000 6.9443
K Fe Ag
4 4 4
Direct
0.0000 0.0000 0.0000 K
0.0000 0.5000 0.5000 K
0.5000 0.0000 0.5000 K
0.5000 0.5000 0.0000 K
0.2500 0.2500 0.2500 Fe
0.2500 0.7500 0.7500 Fe
0.7500 0.2500 0.7500 Fe
0.7500 0.7500 0.2500 Fe
0.0000 0.0000 0.5000 Ag
0.0000 0.5000 0.0000 Ag
0.5000 0.0000 0.0000 Ag
0.5000 0.5000 0.5000 Ag
```

Results
Density of states at the Fermi level ... 1.854 states/eV per atom
Energy above the most stable polymorph in this dataset ... 0.431 eV per atom
Crystal system ... cubic
Energy relative to the elements ... 1.089 eV/atom
SG ... F-43m

***

Entry 5:
Compound: Tb2PmAgHg4
Source: Alexandria via LeMat-Bulk
Functional: PBE-GGA
Structure: relaxed

```
Tb2PmAgHg4
1.0
2.5496 1.4720 8.9340
-2.5496 1.4720 8.9340
0.0000 -2.9440 8.9340
Tb Pm Ag Hg
2 1 1 4
Direct
0.2398 0.2398 0.2398 Tb
0.7602 0.7602 0.7602 Tb
0.0000 0.0000 0.0000 Pm
0.5000 0.5000 0.5000 Ag
0.1248 0.1248 0.1248 Hg
0.3785 0.3785 0.3785 Hg
0.6215 0.6215 0.6215 Hg
0.8752 0.8752 0.8752 Hg
```

Results
Density of states at the Fermi level ... 0.805 states/eV per atom
Crystal system ... trigonal
Energy relative to the elements ... -0.387 eV/atom
SG ... R-3m

***

Entry 6:
Compound: TiAs2HSe
Source: Alexandria via LeMat-Bulk
Functional: PBE-GGA
Structure: relaxed

```
TiAs2HSe
1.0
4.8927 0.0000 0.0000
0.0000 4.8927 0.0000
0.0000 0.0000 4.9143
Ti As H Se
1 2 1 1
Direct
0.0000 0.0000 0.0000 Ti
0.0000 0.5000 0.0000 As
0.5000 0.0000 0.0000 As
0.5000 0.5000 0.5000 H
0.0000 0.0000 0.5000 Se
```

Results
Density of states at the Fermi level ... 0.650 states/eV per atom
Energy above the most stable polymorph in this dataset ... 0.232 eV per atom
Crystal system ... tetragonal
SG ... P4/mmm

***

Entry 7:
Compound: CuSbIr2
Source: Alexandria via LeMat-Bulk
Functional: PBE-GGA
Structure: relaxed

```
CuSbIr2
1.0
2.8981 0.0000 0.0000
0.0000 2.8981 0.0000
0.0000 0.0000 7.9021
Cu Sb Ir
1 1 2
Direct
0.0000 0.0000 0.0000 Cu
0.5000 0.5000 0.7069 Sb
0.0000 0.0000 0.4366 Ir
0.5000 0.5000 0.2145 Ir
```

Results
Density of states at the Fermi level ... 1.302 states/eV per atom
Energy relative to the elements, uncorrected ... 345 meV per atom
Crystal system ... tetragonal
SG ... P4mm

***

Entry 8:
Compound: Sm2TaH
Source: Alexandria via LeMat-Bulk
Functional: PBE-GGA
Structure: relaxed

```
Sm2TaH
1.0
3.1755 0.0000 0.0000
-1.5878 2.7501 0.0000
0.0000 0.0000 27.8591
Sm Ta H
6 3 3
Direct
0.0000 0.0000 0.1090 Sm
0.0000 0.0000 0.8910 Sm
0.3333 0.6667 0.5577 Sm
0.3333 0.6667 0.7756 Sm
0.6667 0.3333 0.2244 Sm
0.6667 0.3333 0.4423 Sm
0.0000 0.0000 0.0000 Ta
0.3333 0.6667 0.6667 Ta
0.6667 0.3333 0.3333 Ta
0.0000 0.0000 0.5000 H
0.3333 0.6667 0.1667 H
0.6667 0.3333 0.8333 H
```

Results
Density of states at the Fermi level ... 1.217 states/eV per atom
Crystal system ... trigonal
Energy ... -5.73 eV/atom
SG ... R-3m

***

Entry 9:
Compound: CeCuP2S8
Source: Alexandria via LeMat-Bulk
Functional: PBE-GGA
Structure: relaxed

```
CeCuP2S8
1.0
6.3260 0.0000 0.0000
-3.1630 5.4784 0.0000
0.0000 0.0000 8.3070
Ce Cu P S
1 1 2 8
Direct
0.0000 0.0000 0.0000 Ce
0.0000 0.0000 0.5000 Cu
0.3333 0.6667 0.1977 P
0.6667 0.3333 0.8023 P
0.1560 0.3120 0.2806 S
0.1560 0.8440 0.2806 S
0.3120 0.1560 0.7194 S
0.3333 0.6667 0.9569 S
0.6667 0.3333 0.0431 S
0.6880 0.8440 0.2806 S
0.8440 0.1560 0.7194 S
0.8440 0.6880 0.7194 S
```

Results
Density of states at the Fermi level ... 0.583 states/eV per atom
Energy relative to the elements, uncorrected ... -381 meV per atom
Crystal system ... trigonal
SG ... P-3m1

***

Entry 10:
Compound: Rb2PtNF
Source: Alexandria via LeMat-Bulk
Functional: PBE-GGA
Structure: relaxed

```
Rb2PtNF
1.0
5.9690 0.0000 0.0000
0.0000 5.9690 0.0000
0.0000 0.0000 3.7147
Rb Pt N F
2 1 1 1
Direct
0.0000 0.5000 0.0000 Rb
0.5000 0.0000 0.0000 Rb
0.0000 0.0000 0.5000 Pt
0.0000 0.0000 0.0000 N
0.5000 0.5000 0.5000 F
```

Results
Density of states at the Fermi level ... 0.451 states/eV per atom
Energy relative to the elements, uncorrected ... -926 meV per atom
Crystal system ... tetragonal
SG ... P4/mmm

***

Entry 11:
Compound: GeS2F
Source: Alexandria via LeMat-Bulk
Functional: PBE-GGA
Structure: relaxed

```
GeS2F
1.0
6.3614 0.0000 0.0000
0.0000 4.7734 0.0000
-4.5211 0.0000 10.8296
Ge S F
4 8 4
Direct
0.2468 0.0411 0.4390 Ge
0.2468 0.4589 0.9390 Ge
0.7532 0.5411 0.0610 Ge
0.7532 0.9589 0.5610 Ge
0.0837 0.6771 0.5449 S
0.0837 0.8229 0.0449 S
0.4938 0.7339 0.8905 S
0.4938 0.7661 0.3905 S
0.5062 0.2339 0.6095 S
0.5062 0.2661 0.1095 S
0.9163 0.1771 0.9551 S
0.9163 0.3229 0.4551 S
0.1433 0.2209 0.2935 F
0.1433 0.2791 0.7935 F
0.8567 0.7209 0.2065 F
0.8567 0.7791 0.7065 F
```

Results
Energy relative to the elements, uncorrected ... -707 meV per atom
Energy above the most stable polymorph in this dataset ... 0.000 eV per atom
Crystal system ... monoclinic
SG ... P2_1/c

***

Entry 12:
Compound: PmTlPd
Source: Alexandria via LeMat-Bulk
Functional: PBE-GGA
Structure: relaxed

```
PmTlPd
1.0
7.1541 0.0000 0.0000
0.0000 4.6863 0.0000
0.0000 0.0000 8.5111
Pm Tl Pd
4 4 4
Direct
0.0293 0.2500 0.1904 Pm
0.4707 0.7500 0.6904 Pm
0.5293 0.2500 0.3096 Pm
0.9707 0.7500 0.8096 Pm
0.1619 0.2500 0.5671 Tl
0.3381 0.7500 0.0671 Tl
0.6619 0.2500 0.9329 Tl
0.8381 0.7500 0.4329 Tl
0.2468 0.2500 0.8906 Pd
0.2532 0.7500 0.3906 Pd
0.7468 0.2500 0.6094 Pd
0.7532 0.7500 0.1094 Pd
```

Results
Density of states at the Fermi level ... 0.468 states/eV per atom
Energy above the most stable polymorph in this dataset ... 0.020 eV per atom
Crystal system ... orthorhombic
Energy relative to the elements ... -0.611 eV/atom
SG ... Pnma

***

Entry 13:
Compound: BaLiCd2Rh
Source: Alexandria via LeMat-Bulk
Functional: PBE-GGA
Structure: relaxed

```
BaLiCd2Rh
1.0
5.2931 0.0000 0.0000
0.0000 5.2931 0.0000
0.0000 0.0000 4.8865
Ba Li Cd Rh
1 1 2 1
Direct
0.0000 0.0000 0.0000 Ba
0.5000 0.5000 0.0000 Li
0.0000 0.5000 0.5000 Cd
0.5000 0.0000 0.5000 Cd
0.5000 0.5000 0.5000 Rh
```

Results
Density of states at the Fermi level ... 0.453 states/eV per atom
Crystal system ... tetragonal
Energy relative to the elements ... -0.189 eV/atom
SG ... P4/mmm

***

Entry 14:
Compound: Ac12Ru6Au
Source: Alexandria via LeMat-Bulk
Functional: PBE-GGA
Structure: relaxed

```
Ac12Ru6Au
1.0
-5.3454 5.3454 5.3454
5.3454 -5.3454 5.3454
5.3454 5.3454 -5.3454
Ac Ru Au
12 6 1
Direct
0.1154 0.8097 0.3057 Ac
0.1903 0.3057 0.4960 Ac
0.1903 0.6943 0.8846 Ac
0.3057 0.1154 0.8097 Ac
0.3057 0.4960 0.1903 Ac
0.4960 0.1903 0.3057 Ac
0.5040 0.8097 0.6943 Ac
0.6943 0.5040 0.8097 Ac
0.6943 0.8846 0.1903 Ac
0.8097 0.3057 0.1154 Ac
0.8097 0.6943 0.5040 Ac
0.8846 0.1903 0.6943 Ac
0.1205 0.6205 0.5000 Ru
0.3795 0.5000 0.8795 Ru
0.5000 0.1205 0.6205 Ru
0.5000 0.8795 0.3795 Ru
0.6205 0.5000 0.1205 Ru
0.8795 0.3795 0.5000 Ru
0.0000 0.0000 0.0000 Au
```

Results
Density of states at the Fermi level ... 0.991 states/eV per atom
Crystal system ... cubic
Energy relative to the elements ... -0.164 eV/atom
SG ... Im-3

***

Entry 15:
Compound: Cs2NdNpO6
Source: Alexandria via LeMat-Bulk
Functional: PBE-GGA
Structure: relaxed

```
Cs2NdNpO6
1.0
0.0000 4.4803 4.4803
4.4803 0.0000 4.4803
4.4803 4.4803 0.0000
Cs Nd Np O
2 1 1 6
Direct
0.2500 0.2500 0.2500 Cs
0.7500 0.7500 0.7500 Cs
0.0000 0.0000 0.0000 Nd
0.5000 0.5000 0.5000 Np
0.2711 0.2711 0.7289 O
0.2711 0.7289 0.2711 O
0.2711 0.7289 0.7289 O
0.7289 0.2711 0.2711 O
0.7289 0.2711 0.7289 O
0.7289 0.7289 0.2711 O
```

Results
Energy relative to the elements, uncorrected ... -2567 meV per atom
Crystal system ... cubic
SG ... Fm-3m

***

Entry 16:
Compound: SrAsIrBr2
Source: Alexandria via LeMat-Bulk
Functional: PBE-GGA
Structure: relaxed

```
SrAsIrBr2
1.0
5.3772 0.0000 0.0000
0.0000 5.3772 0.0000
0.0000 0.0000 4.7163
Sr As Ir Br
1 1 1 2
Direct
0.0000 0.0000 0.0000 Sr
0.5000 0.5000 0.0000 As
0.5000 0.5000 0.5000 Ir
0.0000 0.5000 0.5000 Br
0.5000 0.0000 0.5000 Br
```

Results
Density of states at the Fermi level ... 0.740 states/eV per atom
Energy relative to the elements, uncorrected ... -458 meV per atom
Energy above the most stable polymorph in this dataset ... 0.000 eV per atom
Crystal system ... tetragonal
SG ... P4/mmm

***

Entry 17:
Compound: KY2Sn3Se6
Source: Alexandria via LeMat-Bulk
Functional: PBE-GGA
Structure: relaxed

```
KY2Sn3Se6
1.0
9.2806 -2.0508 0.0000
9.2806 2.0508 0.0000
-1.7043 0.0000 9.1336
K Y Sn Se
1 2 3 6
Direct
0.0000 0.0000 0.0000 K
0.3303 0.3303 0.6624 Y
0.6697 0.6697 0.3376 Y
0.0000 0.0000 0.5000 Sn
0.3376 0.3376 0.1705 Sn
0.6624 0.6624 0.8295 Sn
0.1681 0.1681 0.5605 Se
0.1849 0.1849 0.1260 Se
0.4827 0.4827 0.7233 Se
0.5173 0.5173 0.2767 Se
0.8151 0.8151 0.8740 Se
0.8319 0.8319 0.4395 Se
```

Results
Density of states at the Fermi level ... 0.306 states/eV per atom
Energy relative to the elements, uncorrected ... -1028 meV per atom
Crystal system ... monoclinic
SG ... C2/m

***

Entry 18:
Compound: Ca2TePIr
Source: Alexandria via LeMat-Bulk
Functional: PBE-GGA
Structure: relaxed

```
Ca2TePIr
1.0
5.6815 0.0000 0.0000
0.0000 5.6815 0.0000
0.0000 0.0000 4.3357
Ca Te P Ir
2 1 1 1
Direct
0.0000 0.5000 0.0000 Ca
0.5000 0.0000 0.0000 Ca
0.0000 0.0000 0.5000 Te
0.5000 0.5000 0.5000 P
0.5000 0.5000 0.0000 Ir
```

Results
Density of states at the Fermi level ... 0.320 states/eV per atom
Energy relative to the elements, uncorrected ... -853 meV per atom
Crystal system ... tetragonal
SG ... P4/mmm

***

Entry 19:
Compound: TlV2MoSe
Source: Alexandria via LeMat-Bulk
Functional: PBE-GGA
Structure: relaxed

```
TlV2MoSe
1.0
4.9715 0.0000 0.0000
0.0000 4.9715 0.0000
0.0000 0.0000 5.2031
Tl V Mo Se
1 2 1 1
Direct
0.0000 0.0000 0.0000 Tl
0.0000 0.5000 0.0000 V
0.5000 0.0000 0.0000 V
0.0000 0.0000 0.5000 Mo
0.5000 0.5000 0.5000 Se
```

Results
Density of states at the Fermi level ... 1.919 states/eV per atom
Energy relative to the elements, uncorrected ... 2162 meV per atom
Crystal system ... tetragonal
SG ... P4/mmm

***

Entry 20:
Compound: GdHoH
Source: Alexandria via LeMat-Bulk
Functional: PBE-GGA
Structure: relaxed

```
GdHoH
1.0
3.6152 0.0000 0.0000
-1.8076 3.1309 0.0000
0.0000 0.0000 5.6207
Gd Ho H
1 1 1
Direct
0.0000 0.0000 0.0000 Gd
0.6667 0.3333 0.5130 Ho
0.3333 0.6667 0.7527 H
```

Results
Density of states at the Fermi level ... 0.995 states/eV per atom
Energy above the most stable polymorph in this dataset ... 0.000 eV per atom
Crystal system ... trigonal
SG ... P3m1

***

Looking at size of the total moment for the records above, in order, we have 0.9, 0.0, 0.0, 3.2, 0.0, 0.8, 0.0, 0.0, 0.0, 0.4, 0.0, 0.0, 0.0, 0.0, 0.0, 0.0, 0.0, 0.0, 3.8, 7.4 μB per formula unit.